Record 1
ErCdInTe3 | PBE | relaxed

```
ErCdInTe3
1.0
-14.740 -2.643 -2.515
0.909 -4.265 -0.846
-1.493 -2.595 11.478
Te Cd Er In
12 4 4 4
direct
0.098 0.250 0.126 Te
0.598 0.250 0.374 Te
0.898 0.250 0.579 Te
0.345 0.750 0.231 Te
0.845 0.750 0.269 Te
0.102 0.750 0.421 Te
0.902 0.750 0.874 Te
0.155 0.250 0.731 Te
0.398 0.250 0.921 Te
0.602 0.750 0.079 Te
0.402 0.750 0.626 Te
0.655 0.250 0.769 Te
0.021 0.250 0.898 Cd
0.479 0.750 0.398 Cd
0.521 0.250 0.602 Cd
0.979 0.750 0.102 Cd
0.026 0.750 0.655 Er
0.474 0.250 0.155 Er
0.526 0.750 0.845 Er
0.974 0.250 0.345 Er
0.240 0.750 0.951 In
0.260 0.250 0.451 In
0.740 0.750 0.549 In
0.760 0.250 0.049 In
```

Energy above the lowest structure with this stoichiometry in meV per atom: 0


Record 2
ErTm2Cd3In3 | PBE | relaxed

```
ErTm2Cd3In3
1.0
-1.422 -2.372 -3.671
5.677 -4.742 0.865
-6.509 -1.315 3.372
In Cd Er Tm
3 3 1 2
direct
0.500 0.667 0.333 In
0.000 0.001 0.001 In
0.500 0.333 0.667 In
0.500 0.246 0.246 Cd
0.500 0.000 0.754 Cd
0.500 0.754 0.000 Cd
0.000 0.565 0.565 Er
0.000 0.435 0.000 Tm
0.000 0.000 0.435 Tm
```

DFT total energy in eV/atom: -3.08


Record 3
Er2TmCd4In2 | PBE | relaxed

```
Er2TmCd4In2
1.0
4.571 0.000 0.000
0.000 6.442 3.725
0.000 -6.442 3.725
Tm Er Cd In
1 2 4 2
direct
0.000 0.572 0.572 Tm
0.000 0.428 0.000 Er
0.000 0.000 0.428 Er
0.000 0.000 0.000 Cd
0.500 0.756 0.000 Cd
0.500 0.244 0.244 Cd
0.500 0.000 0.756 Cd
0.500 0.666 0.334 In
0.500 0.334 0.666 In
```

DFT total energy in eV/atom: -2.88


Record 4
ErTm2Zn3CdIn2 | PBE | relaxed

```
ErTm2Zn3CdIn2
1.0
4.548 0.000 0.000
0.000 6.155 3.543
0.000 -6.155 3.543
In Er Cd Zn Tm
2 1 1 3 2
direct
0.500 0.333 0.667 In
0.500 0.667 0.333 In
0.000 0.433 0.433 Er
0.000 0.999 0.999 Cd
0.500 0.766 0.766 Zn
0.500 0.000 0.233 Zn
0.500 0.233 0.000 Zn
0.000 0.567 0.001 Tm
0.000 0.001 0.567 Tm
```

DFT total energy in eV/atom: -2.98


Record 5
ErCdIr | PBE | relaxed

```
ErCdIr
1.0
0.000 3.249 3.249
3.249 0.000 3.249
3.249 3.249 0.000
Ir Er Cd
1 1 1
direct
0.750 0.750 0.750 Ir
0.250 0.250 0.250 Er
0.000 0.000 0.000 Cd
```

Formation enthalpy at 0 K in eV/atom: 0.0539


Record 6
ErCdIr | PBE | relaxed

```
ErCdIr
1.0
-1.117 -0.306 4.529
1.068 3.498 2.912
-3.391 2.695 1.758
Er Ir Cd
1 1 1
direct
0.000 0.000 0.000 Er
0.750 0.750 0.750 Ir
0.250 0.250 0.250 Cd
```

Formation enthalpy at 0 K in eV/atom: 0.0945


Record 7
Er3Mg3Cd2Ir | PBE | relaxed

```
Er3Mg3Cd2Ir
1.0
7.452 0.000 0.000
-3.726 6.454 0.000
0.000 0.000 4.412
Er Cd Mg Ir
3 2 3 1
direct
0.385 0.385 0.000 Er
0.000 0.615 0.000 Er
0.615 0.000 0.000 Er
0.333 0.667 0.500 Cd
0.667 0.333 0.500 Cd
0.769 0.769 0.500 Mg
0.000 0.231 0.500 Mg
0.231 0.000 0.500 Mg
0.000 0.000 0.000 Ir
```

DFT total energy in eV/atom: -3.58


Record 8
NdEr2Cd3Ir2Pt | PBE | relaxed

```
NdEr2Cd3Ir2Pt
1.0
3.965 0.000 0.000
0.000 6.530 3.748
0.000 -6.530 3.748
Er Cd Pt Ir Nd
2 3 1 2 1
direct
0.000 0.593 0.000 Er
0.000 0.000 0.593 Er
0.500 0.999 0.257 Cd
0.500 0.742 0.742 Cd
0.500 0.257 0.999 Cd
0.000 0.994 0.994 Pt
0.500 0.673 0.331 Ir
0.500 0.331 0.673 Ir
0.000 0.409 0.409 Nd
```

Formation enthalpy at 0 K in eV/atom: -0.6493


Record 9
TbEr2Cd3Ir2Pt | PBE | relaxed

```
TbEr2Cd3Ir2Pt
1.0
3.903 0.000 0.000
0.000 6.511 3.751
0.000 -6.511 3.751
Pt Er Cd Ir Tb
1 2 3 2 1
direct
0.000 0.002 0.002 Pt
0.000 0.407 0.000 Er
0.000 0.000 0.407 Er
0.500 0.740 0.000 Cd
0.500 0.000 0.740 Cd
0.500 0.261 0.261 Cd
0.500 0.667 0.331 Ir
0.500 0.331 0.667 Ir
0.000 0.592 0.592 Tb
```

Formation enthalpy at 0 K in eV/atom: -0.6688


Record 10
Tb2ErCd3Ir2Pt | PBE | relaxed

```
Tb2ErCd3Ir2Pt
1.0
-2.700 -1.399 2.507
5.397 -3.458 3.881
-1.977 7.005 1.780
Tb Er Ir Cd Pt
2 1 2 3 1
direct
0.000 0.408 0.000 Tb
0.000 0.000 0.408 Tb
0.000 0.593 0.593 Er
0.500 0.666 0.336 Ir
0.500 0.336 0.666 Ir
0.500 0.259 0.259 Cd
0.500 0.000 0.741 Cd
0.500 0.741 0.000 Cd
0.000 0.998 0.998 Pt
```

Formation enthalpy at 0 K in eV/atom: -0.6668


Record 11
Er2TmCd3Ir2Pt | PBE | relaxed

```
Er2TmCd3Ir2Pt
1.0
3.899 0.000 0.000
0.000 6.466 3.733
0.000 -6.466 3.733
Pt Er Tm Cd Ir
1 2 1 3 2
direct
0.000 0.001 0.001 Pt
0.000 0.594 0.000 Er
0.000 0.000 0.594 Er
0.000 0.406 0.406 Tm
0.500 0.261 0.000 Cd
0.500 0.739 0.739 Cd
0.500 0.000 0.261 Cd
0.500 0.666 0.334 Ir
0.500 0.334 0.666 Ir
```

Formation enthalpy at 0 K in eV/atom: -0.6693


Record 12
ErTm2Cd3Ir2Pt | PBE | relaxed

```
ErTm2Cd3Ir2Pt
1.0
3.895 0.000 0.000
0.000 6.464 3.732
0.000 -6.464 3.732
Ir Cd Tm Er Pt
2 3 2 1 1
direct
0.500 0.333 0.667 Ir
0.500 0.667 0.333 Ir
0.500 0.261 0.000 Cd
0.500 0.739 0.739 Cd
0.500 0.000 0.261 Cd
0.000 0.594 0.000 Tm
0.000 0.000 0.594 Tm
0.000 0.406 0.406 Er
0.000 0.999 0.999 Pt
```

Formation enthalpy at 0 K in eV/atom: -0.6689


Record 13
K2Nd2ErMg3Cd | PBE | relaxed

```
K2Nd2ErMg3Cd
1.0
-3.993 0.788 2.718
0.479 -7.648 2.921
3.898 6.016 3.984
Er K Cd Mg Nd
1 2 1 3 2
direct
0.000 0.378 0.378 Er
0.500 0.329 0.662 K
0.500 0.662 0.329 K
0.000 0.012 0.012 Cd
0.500 0.219 0.003 Mg
0.500 0.003 0.219 Mg
0.500 0.789 0.789 Mg
0.000 0.990 0.618 Nd
0.000 0.618 0.990 Nd
```

DFT total energy in eV/atom: -2.05


Record 14
K2NdEr2Mg3Cd | PBE | relaxed

```
K2NdEr2Mg3Cd
1.0
3.743 0.000 0.000
0.000 10.402 4.122
0.000 -10.402 4.122
Mg Cd Er K Nd
3 1 2 2 1
direct
0.500 0.765 0.765 Mg
0.500 0.232 0.033 Mg
0.500 0.033 0.232 Mg
0.000 0.038 0.038 Cd
0.000 0.684 0.925 Er
0.000 0.925 0.684 Er
0.500 0.230 0.661 K
0.500 0.661 0.230 K
0.000 0.433 0.433 Nd
```

DFT total energy in eV/atom: -2.14


Record 15
K2Er2TmMg3Cd | PBE | relaxed

```
K2Er2TmMg3Cd
1.0
-1.187 -3.999 -2.525
7.392 -0.040 -3.412
-1.234 -4.031 6.965
Er Tm Mg Cd K
2 1 3 1 2
direct
0.000 0.001 0.377 Er
0.000 0.377 0.001 Er
0.000 0.625 0.625 Tm
0.500 0.782 0.000 Mg
0.500 0.215 0.215 Mg
0.500 0.000 0.782 Mg
0.000 0.999 0.999 Cd
0.500 0.667 0.334 K
0.500 0.334 0.667 K
```

DFT total energy in eV/atom: -1.91


Record 16
K2YEr2Mg3Cd | PBE | relaxed

```
K2YEr2Mg3Cd
1.0
-1.017 -3.799 2.704
6.731 -5.029 -4.534
0.771 5.381 7.849
Er Mg K Y Cd
2 3 2 1 1
direct
0.000 0.699 0.922 Er
0.000 0.922 0.699 Er
0.500 0.001 0.182 Mg
0.500 0.182 0.001 Mg
0.500 0.736 0.736 Mg
0.500 0.658 0.257 K
0.500 0.257 0.658 K
0.000 0.455 0.455 Y
0.000 0.091 0.091 Cd
```

DFT total energy in eV/atom: -2.25


Record 17
KErCdS3 | PBE | relaxed

```
KErCdS3
1.0
11.890 0.000 0.000
0.000 4.106 0.000
0.000 0.000 12.271
S K Er Cd
12 4 4 4
direct
0.588 0.000 0.069 S
0.951 0.000 0.185 S
0.088 0.000 0.431 S
0.049 0.500 0.815 S
0.412 0.500 0.931 S
0.549 0.500 0.685 S
0.734 0.500 0.338 S
0.451 0.000 0.315 S
0.766 0.000 0.838 S
0.266 0.000 0.662 S
0.234 0.500 0.162 S
0.912 0.500 0.569 S
0.146 0.000 0.995 K
0.354 0.500 0.495 K
0.854 0.500 0.005 K
0.646 0.000 0.505 K
0.960 0.500 0.340 Er
0.040 0.000 0.660 Er
0.460 0.500 0.160 Er
0.540 0.000 0.840 Er
0.764 0.500 0.716 Cd
0.264 0.500 0.784 Cd
0.736 0.000 0.216 Cd
0.236 0.000 0.284 Cd
```

DFT total energy in eV/atom: -4.51


Record 18
LaErCd4 | PBE | relaxed

```
LaErCd4
1.0
-1.427 2.385 -1.948
-3.967 -2.955 -0.714
-3.822 3.437 7.013
Cd Er La
4 1 1
direct
0.503 0.500 0.840 Cd
0.497 0.500 0.160 Cd
0.497 0.000 0.675 Cd
0.503 0.000 0.325 Cd
0.000 0.000 0.000 Er
0.000 0.500 0.500 La
```

Formation enthalpy at 0 K in eV/atom: -0.3338


Record 19
LaErCd6 | PBE | relaxed

```
LaErCd6
1.0
4.897 0.000 0.000
0.000 3.632 5.462
0.000 -3.632 5.462
Cd Er La
6 1 1
direct
0.500 0.618 0.190 Cd
0.000 0.383 0.803 Cd
0.500 0.678 0.678 Cd
0.000 0.803 0.383 Cd
0.500 0.190 0.618 Cd
0.000 0.331 0.331 Cd
0.000 0.863 0.863 Er
0.500 0.134 0.134 La
```

Formation enthalpy at 0 K in eV/atom: -0.2837


Record 20
LiErCd | PBE | relaxed

```
LiErCd
1.0
3.419 -3.459 -0.297
-1.289 -4.645 -0.707
0.916 -2.159 -4.271
Er Cd Li
1 1 1
direct
0.000 0.000 0.000 Er
0.250 0.250 0.250 Cd
0.750 0.750 0.750 Li
```

DFT total energy in eV/atom: -2.04


| no. | M_tot (μB per formula unit) |
| --- | --- |
| 1 | 0.00 |
| 2 | 0.00 |
| 3 | 0.00 |
| 4 | 0.00 |
| 5 | 0.00 |
| 6 | 0.00 |
| 7 | 0.06 |
| 8 | 0.00 |
| 9 | 0.00 |
| 10 | 0.00 |
| 11 | 0.00 |
| 12 | 0.00 |
| 13 | 0.02 |
| 14 | 0.77 |
| 15 | 0.10 |
| 16 | 1.33 |
| 17 | 0.00 |
| 18 | 0.05 |
| 19 | 0.01 |
| 20 | 0.04 |